The following is a DFT calculation (GGA-PBE) of an optimized crystal structure of FeOs2.

POSCAR file:
```
FeOs2
1.0
4.1670 0.0000 0.0000
-2.0835 3.6088 0.0000
0.0000 0.0000 5.3059
Fe Os
2 4
direct
0.3333 0.6667 0.2500
0.6667 0.3333 0.7500
0.0000 0.0000 0.0000
0.0000 0.0000 0.5000
0.3333 0.6667 0.7500
0.6667 0.3333 0.2500
```

Calculated values
total magnetic moment: 2.1 Bohr magnetons per cell
calculated total energy: -60.470 eV/cell
formation energy from the elements: 0.2291 eV/atom
energy above the most stable polymorph in this dataset: 0.198 eV/atom

***

The following is a DFT calculation (GGA-PBE) of an optimized crystal structure of Fe3Os.

POSCAR file:
```
Fe3Os
1.0
3.5695 0.0000 0.0000
0.0000 3.5695 0.0000
0.0000 0.0000 3.5695
Fe Os
3 1
direct
0.0000 0.0000 0.5000
0.0000 0.5000 0.0000
0.5000 0.0000 0.0000
0.5000 0.5000 0.5000
```

Calculated values
total magnetic moment: 0.0 Bohr magnetons per cell
calculated total energy: -36.053 eV/cell
formation energy from the elements: 0.1413 eV/atom

***

The following is a DFT calculation (GGA-PBE) of an optimized crystal structure of Fe3Os.

POSCAR file:
```
Fe3Os
1.0
4.2357 -1.3028 0.0000
4.2357 1.3028 0.0000
-0.7961 0.0000 4.3417
Fe Os
3 1
direct
0.0000 0.0000 0.0000
0.2507 0.2507 0.7517
0.7493 0.7493 0.2483
0.5000 0.5000 0.5000
```

Calculated values
total magnetic moment: 4.9 Bohr magnetons per cell
calculated total energy: -36.046 eV/cell
formation energy from the elements: 0.1429 eV/atom

***

The following is a DFT calculation (GGA-PBE) of an optimized crystal structure of FeOs2.

POSCAR file:
```
FeOs2
1.0
5.7032 0.0000 0.0000
0.0000 5.7032 0.0000
0.0000 0.0000 5.7032
Fe Os
4 8
direct
0.0000 0.0000 0.0000
0.0000 0.5000 0.5000
0.5000 0.0000 0.5000
0.5000 0.5000 0.0000
0.1165 0.6165 0.8835
0.1165 0.8835 0.3835
0.3835 0.1165 0.8835
0.3835 0.3835 0.3835
0.6165 0.6165 0.6165
0.6165 0.8835 0.1165
0.8835 0.1165 0.6165
0.8835 0.3835 0.1165
```

Calculated values
total magnetic moment: 0.1 Bohr magnetons per cell
calculated total energy: -110.393 eV/cell
formation energy from the elements: 1.1080 eV/atom
energy above the most stable polymorph in this dataset: 1.077 eV/atom

***

The following is a DFT calculation (GGA-PBE) of an optimized crystal structure of Fe5Os4.

POSCAR file:
```
Fe5Os4
1.0
7.1337 0.0000 0.0000
-3.5668 6.1779 0.0000
0.0000 0.0000 5.1883
Fe Os
10 8
direct
0.0000 0.3285 0.2500
0.0000 0.6715 0.7500
0.3285 0.0000 0.2500
0.3285 0.3285 0.7500
0.3333 0.6667 0.0000
0.3333 0.6667 0.5000
0.6667 0.3333 0.0000
0.6667 0.3333 0.5000
0.6715 0.0000 0.7500
0.6715 0.6715 0.2500
0.0000 0.0000 0.0000
0.0000 0.0000 0.5000
0.0000 0.3410 0.7500
0.0000 0.6590 0.2500
0.3410 0.0000 0.7500
0.3410 0.3410 0.2500
0.6590 0.0000 0.2500
0.6590 0.6590 0.7500
```

Calculated values
total magnetic moment: 3.3 Bohr magnetons per cell
calculated total energy: -169.656 eV/cell
formation energy from the elements: 0.2672 eV/atom
energy above the most stable polymorph in this dataset: 0.133 eV/atom

***

The following is a DFT calculation (GGA-PBE) of an optimized crystal structure of Fe2Os.

POSCAR file:
```
Fe2Os
1.0
4.3569 0.0000 0.0000
0.0000 4.3569 0.0000
0.0000 0.0000 2.6149
Fe Os
2 1
direct
0.0000 0.5000 0.0000
0.5000 0.0000 0.0000
0.0000 0.0000 0.5000
```

Calculated values
total magnetic moment: 6.1 Bohr magnetons per cell
calculated total energy: -25.905 eV/cell
formation energy from the elements: 0.7500 eV/atom